# 1
! SmSb3S6 | Alexandria | GGA-PBE | optimized geometry; values from VASP
! SG   P2_1/m, No. 11
! Formation energy (no corrections)   -0.7139 eV per atom
! Electronic total energy   -4.90 eV/atom
! M_tot   0.000 Bohr magnetons per cell
&SYSTEM
  ibrav = 0, nat = 20, ntyp = 3
/
ATOMIC_SPECIES
Sm 150.36 Sm.upf
Sb 121.76 Sb.upf
S 32.06 S.upf
CELL_PARAMETERS angstrom
11.585 0.000 0.000
0.000 3.887 0.000
-2.644 0.000 11.598
ATOMIC_POSITIONS crystal
Sm 0.186 0.250 0.030
Sm 0.814 0.750 0.970
Sb 0.030 0.750 0.289
Sb 0.336 0.250 0.421
Sb 0.406 0.750 0.845
Sb 0.594 0.250 0.155
Sb 0.664 0.750 0.579
Sb 0.970 0.250 0.711
S 0.036 0.750 0.892
S 0.121 0.250 0.440
S 0.216 0.750 0.217
S 0.258 0.250 0.801
S 0.380 0.750 0.047
S 0.385 0.750 0.564
S 0.615 0.250 0.436
S 0.620 0.250 0.953
S 0.742 0.750 0.199
S 0.784 0.250 0.783
S 0.879 0.750 0.560
S 0.964 0.250 0.108

=====

# 2
! Sm2SbS | Alexandria | GGA-PBE | optimized geometry; values from VASP
! Energy relative to the lowest polymorph listed for this composition   0.7 kJ/mol of formula units
! SG   P-3m1, No. 164
! Formation energy (no corrections)   -1.5574 eV per atom
! Electronic total energy   -5.98 eV/atom
! M_tot   0.000 Bohr magnetons per cell
&SYSTEM
  ibrav = 0, nat = 12, ntyp = 3
/
ATOMIC_SPECIES
Sm 150.36 Sm.upf
Sb 121.76 Sb.upf
S 32.06 S.upf
CELL_PARAMETERS angstrom
4.248 0.000 0.000
-2.124 3.679 0.000
0.000 0.000 20.725
ATOMIC_POSITIONS crystal
Sm 0.000 0.000 0.224
Sm 0.000 0.000 0.776
Sm 0.333 0.667 0.408
Sm 0.333 0.667 0.928
Sm 0.667 0.333 0.072
Sm 0.667 0.333 0.592
Sb 0.000 0.000 0.500
Sb 0.333 0.667 0.685
Sb 0.667 0.333 0.315
S 0.000 0.000 0.000
S 0.333 0.667 0.148
S 0.667 0.333 0.852

=====

# 3
! SmSb2S4 | Alexandria | GGA-PBE | optimized geometry; values from VASP
! SG   Cmcm, No. 63
! Formation energy (no corrections)   -0.7343 eV per atom
! Electronic total energy   -4.94 eV/atom
! M_tot   0.000 Bohr magnetons per cell
&SYSTEM
  ibrav = 0, nat = 14, ntyp = 3
/
ATOMIC_SPECIES
Sm 150.36 Sm.upf
Sb 121.76 Sb.upf
S 32.06 S.upf
CELL_PARAMETERS angstrom
2.085 -6.363 0.000
2.085 6.363 0.000
0.000 0.000 12.928
ATOMIC_POSITIONS crystal
Sm 0.123 0.877 0.750
Sm 0.877 0.123 0.250
Sb 0.376 0.624 0.560
Sb 0.376 0.624 0.940
Sb 0.624 0.376 0.060
Sb 0.624 0.376 0.440
S 0.000 0.000 0.000
S 0.000 0.000 0.500
S 0.275 0.725 0.121
S 0.275 0.725 0.379
S 0.477 0.523 0.750
S 0.523 0.477 0.250
S 0.725 0.275 0.621
S 0.725 0.275 0.879

=====

# 4
! Sm6Sb2TeS3 | Alexandria | GGA-PBE | optimized geometry; values from VASP
! SG   C2/m, No. 12
! Formation energy (no corrections)   -1.6166 eV per atom
! Electronic total energy   -5.96 eV/atom
! M_tot   0.000 Bohr magnetons per cell
&SYSTEM
  ibrav = 0, nat = 12, ntyp = 4
/
ATOMIC_SPECIES
Sm 150.36 Sm.upf
Sb 121.76 Sb.upf
Te 127.60 Te.upf
S 32.06 S.upf
CELL_PARAMETERS angstrom
9.278 -2.105 0.000
9.278 2.105 0.000
-2.107 0.000 8.273
ATOMIC_POSITIONS crystal
Sm 0.006 0.006 0.225
Sm 0.324 0.324 0.429
Sm 0.339 0.339 0.903
Sm 0.661 0.661 0.097
Sm 0.676 0.676 0.571
Sm 0.994 0.994 0.775
Sb 0.166 0.166 0.832
Sb 0.834 0.834 0.168
Te 0.500 0.500 0.500
S 0.166 0.166 0.334
S 0.500 0.500 0.000
S 0.834 0.834 0.666

=====

# 5
! Sm6SbTe3S2 | Alexandria | GGA-PBE | optimized geometry; values from VASP
! SG   C2/m, No. 12
! Formation energy (no corrections)   -1.5659 eV per atom
! Electronic total energy   -5.74 eV/atom
! M_tot   0.000 Bohr magnetons per cell
&SYSTEM
  ibrav = 0, nat = 12, ntyp = 4
/
ATOMIC_SPECIES
Sm 150.36 Sm.upf
Sb 121.76 Sb.upf
Te 127.60 Te.upf
S 32.06 S.upf
CELL_PARAMETERS angstrom
3.694 -6.390 0.000
3.694 6.390 0.000
-2.469 0.000 7.203
ATOMIC_POSITIONS crystal
Sm 0.073 0.426 0.781
Sm 0.216 0.216 0.212
Sm 0.426 0.073 0.781
Sm 0.574 0.927 0.219
Sm 0.784 0.784 0.788
Sm 0.927 0.574 0.219
Sb 0.500 0.500 0.000
Te 0.000 0.000 0.500
Te 0.341 0.659 0.500
Te 0.659 0.341 0.500
S 0.168 0.832 0.000
S 0.832 0.168 0.000

=====

# 6
! Sm8SbTe4S3 | Alexandria | GGA-PBE | optimized geometry; values from VASP
! SG   R-3m, No. 166
! Formation energy (no corrections)   -1.5977 eV per atom
! Electronic total energy   -5.77 eV/atom
! M_tot   0.000 Bohr magnetons per cell
&SYSTEM
  ibrav = 0, nat = 16, ntyp = 4
/
ATOMIC_SPECIES
Sm 150.36 Sm.upf
Sb 121.76 Sb.upf
Te 127.60 Te.upf
S 32.06 S.upf
CELL_PARAMETERS angstrom
4.253 2.455 7.159
-4.253 2.455 7.159
0.000 -4.910 7.159
ATOMIC_POSITIONS crystal
Sm 0.220 0.747 0.747
Sm 0.236 0.236 0.236
Sm 0.253 0.253 0.780
Sm 0.253 0.780 0.253
Sm 0.747 0.220 0.747
Sm 0.747 0.747 0.220
Sm 0.764 0.764 0.764
Sm 0.780 0.253 0.253
Sb 0.500 0.500 0.500
Te 0.000 0.000 0.000
Te 0.000 0.500 0.500
Te 0.500 0.000 0.500
Te 0.500 0.500 0.000
S 0.000 0.000 0.500
S 0.000 0.500 0.000
S 0.500 0.000 0.000